A relaxed Ho3Er4Ir4 crystal, computed with PBE.

a b c (Å): 3.809 8.584 15.811
angles (deg): 90.00 90.00 90.00
Space group Immm (No. 71)
Unique sites:
Ho 0.000 0.000 0.000 x2
Ho 0.000 0.500 0.101 x4
Er 0.000 0.310 0.333 x8
Ir 0.000 0.000 0.249 x4
Ir 0.000 0.213 0.500 x4

Results
E_tot   -6.844 eV/atom
Calculated volume   516.9 Å³ per cell
Total moment   0.0 μB/cell



A relaxed Ho3ErIr3 crystal, computed with PBE.

a b c (Å): 9.810 9.856 6.557
angles (deg): 90.00 90.00 90.00
Space group Cmmm (No. 65)
Unique sites:
Ho 0.000 0.245 0.000 x4
Ho 0.245 0.000 0.000 x4
Ho 0.247 0.000 0.500 x4
Er 0.000 0.243 0.500 x4
Ir 0.000 0.000 0.250 x4
Ir 0.250 0.250 0.251 x8

Results
E_tot   -7.158 eV/atom
Calculated volume   634.0 Å³ per cell
Total moment   0.0 μB/cell



A relaxed HoEr3Ir crystal, computed with PBE.

a b c (Å): 17.166 3.771 9.229
angles (deg): 90.00 104.82 90.00
Space group C2/m (No. 12)
Unique sites:
Ho 0.190 0.000 0.298 x4
Er 0.002 0.500 0.181 x4
Er 0.101 0.500 0.544 x4
Er 0.181 0.000 0.877 x4
Ir 0.140 0.500 0.067 x4

Results
E_tot   -5.709 eV/atom
Calculated volume   577.6 Å³ per cell
Total moment   0.8 μB/cell



A relaxed HoErIr crystal, computed with PBE.

a b c (Å): 6.748 6.748 6.743
angles (deg): 90.00 90.10 90.00
Space group C2/c (No. 15)
Unique sites:
Ho 0.000 0.000 0.250 x4
Er 0.000 0.500 0.250 x4
Ir 0.250 0.250 0.000 x4

Results
E_tot   -6.740 eV/atom
Calculated volume   307.0 Å³ per cell
Total moment   0.0 μB/cell



A relaxed Ho3ErIr3 crystal, computed with PBE.

a b c (Å): 9.6030 9.6030 5.8930
angles (deg): 90.00 90.00 120.00
Space group R-3m (No. 166, hexagonal axes)
Unique sites:
Ho 0.0000 0.5000 0.0000 x9
Er 0.0000 0.0000 0.0000 x3
Ir 0.0000 0.5000 0.5000 x9

Results
E_tot   -7.176 eV/atom
Calculated volume   470.6 Å³ per cell
Total moment   0.0 μB/cell



A relaxed Ho2Er2Ir3 crystal, computed with PBE.

a b c (Å): 8.266 4.772 8.337
angles (deg): 90.00 109.38 90.00
Space group C2/m (No. 12)
Unique sites:
Ho 0.125 0.000 0.376 x4
Er 0.124 0.500 0.872 x4
Ir 0.000 0.000 0.000 x2
Ir 0.250 0.000 0.751 x4

Results
E_tot   -7.267 eV/atom
Calculated volume   310.2 Å³ per cell
Total moment   0.0 μB/cell



A relaxed HoEr2Ir crystal, computed with PBE.

a b c (Å): 3.6963 3.6963 31.2606
angles (deg): 90.00 90.00 120.00
Space group R-3m (No. 166, hexagonal axes)
Unique sites:
Ho 0.0000 0.0000 0.0000 x3
Er 0.0000 0.0000 0.1128 x6
Ir 0.0000 0.0000 0.5000 x3

Results
E_tot   -5.773 eV/atom
Calculated volume   369.9 Å³ per cell
Total moment   1.2 μB/cell



A relaxed HoEr2Ir crystal, computed with PBE.

a b c (Å): 7.190 9.143 6.364
angles (deg): 90.00 90.00 90.00
Space group Pnma (No. 62)
Unique sites:
Ho 0.033 0.250 0.128 x4
Er 0.177 0.062 0.674 x8
Ir 0.116 0.750 0.456 x4

Results
E_tot   -6.251 eV/atom
Calculated volume   418.3 Å³ per cell
Total moment   0.0 μB/cell